1.
Here is an optimized crystal structure of Ag2SbI6 from the Alexandria database. Energies are from PBE-GGA.

```
Ag2SbI6
1.0
7.196 0.000 0.000
0.000 7.196 0.000
0.000 0.000 13.295
Ag Sb I
4 2 12
Direct
0.000 0.000 0.167
0.000 0.000 0.833
0.500 0.500 0.333
0.500 0.500 0.667
0.000 0.000 0.500
0.500 0.500 0.000
0.195 0.195 0.000
0.198 0.198 0.329
0.198 0.198 0.671
0.302 0.698 0.171
0.302 0.698 0.829
0.305 0.695 0.500
0.695 0.305 0.500
0.698 0.302 0.171
0.698 0.302 0.829
0.802 0.802 0.329
0.802 0.802 0.671
0.805 0.805 0.000
```

Output
- Raw formation energy: -0.183 eV/atom
- Space group: No. 136



2.
Here is an optimized crystal structure of AgSbI from the Alexandria database. Energies are from PBE-GGA.

```
AgSbI
1.0
6.018 0.000 0.000
-0.068 6.402 0.000
-1.399 -3.168 5.648
Ag Sb I
2 2 2
Direct
0.183 0.102 0.204
0.817 0.898 0.796
0.314 0.891 0.782
0.686 0.109 0.218
0.283 0.350 0.699
0.717 0.650 0.301
```

Output
- Excess energy over the best structure of this formula in the dataset: 126 meV/atom
- Raw formation energy: 0.019 eV/atom
- Space group: No. 2



3.
Here is an optimized crystal structure of AgSbI from the Alexandria database. Energies are from PBE-GGA.

```
AgSbI
1.0
4.178 0.000 0.000
0.062 6.562 0.000
0.465 0.257 7.023
Ag Sb I
2 2 2
Direct
0.000 0.000 0.000
0.496 0.276 0.132
0.059 0.374 0.793
0.588 0.232 0.539
0.441 0.722 0.158
0.793 0.826 0.633
```

Output
- Excess energy over the best structure of this formula in the dataset: 128 meV/atom
- Raw formation energy: 0.022 eV/atom
- Space group: No. 1



4.
Here is an optimized crystal structure of AgSbI from the Alexandria database. Energies are from PBE-GGA.

```
AgSbI
1.0
4.298 0.000 0.000
-1.293 7.222 0.000
-1.962 -3.385 6.642
Ag Sb I
2 2 2
Direct
0.000 0.000 0.000
0.082 0.450 0.320
0.000 0.070 0.393
0.308 0.787 0.197
0.561 0.235 0.933
0.745 0.622 0.607
```

Output
- Excess energy over the best structure of this formula in the dataset: 56 meV/atom
- Raw formation energy: -0.051 eV/atom
- Space group: No. 1